Material: KFeIr
Method: DFT, PBE-GGA
State: relaxed

SG = C2/m, No. 12
VASP energy = -67.5 eV/cell

Unit cell a=6.509 b=5.694 c=7.677 alpha=90.00 beta=90.83 gamma=90.00
Atoms (fractional coordinates):
K  0.248  0.000  0.153
K  0.252  0.500  0.847
K  0.748  0.500  0.153
K  0.752  0.000  0.847
Fe  0.000  0.288  0.500
Fe  0.000  0.712  0.500
Fe  0.500  0.212  0.500
Fe  0.500  0.788  0.500
Ir  0.210  0.000  0.615
Ir  0.290  0.500  0.385
Ir  0.710  0.500  0.615
Ir  0.790  0.000  0.385

=====

Material: K2FeIr
Method: DFT, PBE-GGA
State: relaxed

SG = Fm-3m, No. 225
VASP energy = -53.6 eV/cell

Unit cell a=7.564 b=7.564 c=7.564 alpha=90.00 beta=90.00 gamma=90.00
Atoms (fractional coordinates):
K  0.250  0.250  0.250
K  0.250  0.250  0.750
K  0.250  0.750  0.250
K  0.250  0.750  0.750
K  0.750  0.250  0.250
K  0.750  0.250  0.750
K  0.750  0.750  0.250
K  0.750  0.750  0.750
Fe  0.000  0.000  0.000
Fe  0.000  0.500  0.500
Fe  0.500  0.000  0.500
Fe  0.500  0.500  0.000
Ir  0.000  0.000  0.500
Ir  0.000  0.500  0.000
Ir  0.500  0.000  0.000
Ir  0.500  0.500  0.500

=====

What did the second record say?
Material: K2FeIr
Method: DFT, PBE-GGA
State: relaxed

SG = Fm-3m, No. 225
VASP energy = -53.6 eV/cell

Unit cell a=7.564 b=7.564 c=7.564 alpha=90.00 beta=90.00 gamma=90.00
Atoms (fractional coordinates):
K  0.250  0.250  0.250
K  0.250  0.250  0.750
K  0.250  0.750  0.250
K  0.250  0.750  0.750
K  0.750  0.250  0.250
K  0.750  0.250  0.750
K  0.750  0.750  0.250
K  0.750  0.750  0.750
Fe  0.000  0.000  0.000
Fe  0.000  0.500  0.500
Fe  0.500  0.000  0.500
Fe  0.500  0.500  0.000
Ir  0.000  0.000  0.500
Ir  0.000  0.500  0.000
Ir  0.500  0.000  0.000
Ir  0.500  0.500  0.500